NiB (PBE, optimized geometry); E_form = 17 meV/atom; raw total energy = -6.21 eV per atom
1.0
-1.425 2.471 -5.118
-5.448 0.909 1.956
1.119 3.618 1.435
Ni B
8 8
direct
0.913 0.302 0.000
0.587 0.198 0.500
0.302 0.087 0.000
0.087 0.698 0.000
0.198 0.413 0.500
0.413 0.802 0.500
0.698 0.913 0.000
0.802 0.587 0.500
0.700 0.571 0.000
0.071 0.800 0.500
0.300 0.429 0.000
0.429 0.700 0.000
0.200 0.071 0.500
0.929 0.200 0.500
0.800 0.929 0.500
0.571 0.300 0.000